No. 1
First-principles (GGA-PBE) data for a relaxed Er5MgCu4 crystal, as listed in Alexandria via LeMat-Bulk.

Cell and atoms, written as extended XYZ:
```
10
Lattice="-0.306 -0.435 -3.388 -2.856 -1.834 0.494 -10.037 15.344 -1.066" Properties=species:S:1:pos:R:3 pbc="T T T"
Er -8.485 9.419 -2.181
Er -4.714 3.655 -1.780
Er -10.350 12.271 -2.379
Er -6.599 6.537 -1.980
Er -2.849 0.803 -1.582
Cu -4.079 6.236 -0.433
Cu -7.879 12.045 -0.837
Cu -2.158 3.299 -0.229
Cu -5.958 9.108 -0.633
Mg 0.000 0.000 0.000
```

Properties
total DFT energy (no corrections): -4.313 eV per atom
DOS at the Fermi energy: 0.63 states/eV/atom
formation energy from the elements: -0.234 eV/atom
crystal system: tetragonal

No. 2
First-principles (GGA-PBE) data for a relaxed ErMgCu2 crystal, as listed in Alexandria via LeMat-Bulk.

Cell and atoms, written as extended XYZ:
```
4
Lattice="3.314 0.000 0.000 0.000 3.314 0.000 0.000 0.000 6.612" Properties=species:S:1:pos:R:3 pbc="T T T"
Mg 1.657 1.657 0.000
Er 1.657 1.657 3.306
Cu 0.000 0.000 5.082
Cu 0.000 0.000 1.530
```

Properties
total DFT energy (no corrections): -3.752 eV per atom
DOS at the Fermi energy: 0.40 states/eV/atom
formation energy from the elements: -0.165 eV/atom
crystal system: tetragonal

No. 3
First-principles (GGA-PBE) data for a relaxed Er3MgCu crystal, as listed in Alexandria via LeMat-Bulk.

Cell and atoms, written as extended XYZ:
```
20
Lattice="5.439 0.000 0.000 0.000 10.841 -0.198 0.000 -4.479 9.101" Properties=species:S:1:pos:R:3 pbc="T T T"
Er 4.527 6.190 7.267
Er 3.679 0.716 3.610
Er 1.738 -2.330 7.864
Er 1.808 5.593 1.537
Er 0.981 3.090 7.765
Er 4.457 3.272 1.138
Er 3.631 0.769 7.366
Er 4.479 6.137 3.510
Er 3.701 8.693 1.038
Er 0.960 0.226 5.392
Er 1.760 5.646 5.293
Er 0.912 0.173 1.636
Cu 3.523 0.692 0.771
Cu 4.636 6.113 0.672
Cu 0.803 0.249 8.230
Cu 1.916 5.670 8.131
Mg 1.420 8.369 3.437
Mg 1.300 2.948 3.536
Mg 4.139 3.414 5.367
Mg 4.019 -2.006 5.466
```

Properties
total DFT energy (no corrections): -3.888 eV per atom
DOS at the Fermi energy: 0.99 states/eV/atom
formation energy from the elements: -0.012 eV/atom
crystal system: monoclinic